[1]
The following is a DFT calculation (PBE) of CaSnPt2 after structural relaxation.

a b c (Å): 5.509 5.509 8.496
angles (deg): 71.08 71.08 90.00
Sites, in units of the cell vectors:
Pt: 0.674 0.125 0.250
Pt: 0.875 0.924 0.750
Pt: 0.375 0.326 0.750
Pt: 0.076 0.625 0.250
Ca: 0.250 0.750 0.500
Ca: 0.500 0.500 0.000
Sn: 0.750 0.250 0.500
Sn: 0.000 0.000 0.000

Calculated values
Spin magnetization ... 0.00 Bohr magnetons per cell

***

[2]
The following is a DFT calculation (PBE) of Ca3Sn5Pt6 after structural relaxation.

a b c (Å): 4.500 9.938 13.350
angles (deg): 90.00 90.00 90.00
Sites, in units of the cell vectors:
Sn: 0.000 0.512 0.144
Sn: 0.500 0.253 0.500
Sn: 0.000 0.747 0.000
Sn: 0.000 0.512 0.856
Sn: 0.000 0.907 0.672
Sn: 0.500 0.093 0.828
Sn: 0.000 0.907 0.328
Sn: 0.500 0.488 0.356
Sn: 0.500 0.093 0.172
Sn: 0.500 0.488 0.644
Pt: 0.500 0.031 0.377
Pt: 0.500 0.918 0.000
Pt: 0.000 0.639 0.334
Pt: 0.000 0.969 0.877
Pt: 0.500 0.361 0.166
Pt: 0.500 0.031 0.623
Pt: 0.000 0.082 0.500
Pt: 0.000 0.969 0.123
Pt: 0.000 0.639 0.666
Pt: 0.500 0.361 0.834
Pt: 0.000 0.448 0.500
Pt: 0.500 0.552 0.000
Ca: 0.500 0.761 0.500
Ca: 0.500 0.751 0.807
Ca: 0.000 0.249 0.693
Ca: 0.500 0.751 0.193
Ca: 0.000 0.249 0.307
Ca: 0.000 0.239 0.000

Calculated values
Spin magnetization ... 0.00 Bohr magnetons per cell

***

[3]
The following is a DFT calculation (PBE) of CaSn3Pt after structural relaxation.

a b c (Å): 6.344 8.710 9.391
angles (deg): 90.00 90.00 90.00
Sites, in units of the cell vectors:
Pt: 0.500 0.000 0.000
Pt: 0.000 0.500 0.500
Pt: 0.500 0.000 0.500
Pt: 0.000 0.500 0.000
Sn: 0.200 0.778 0.583
Sn: 0.200 0.778 0.917
Sn: 0.690 0.909 0.250
Sn: 0.800 0.222 0.083
Sn: 0.310 0.091 0.750
Sn: 0.700 0.722 0.583
Sn: 0.700 0.722 0.917
Sn: 0.300 0.278 0.083
Sn: 0.190 0.591 0.250
Sn: 0.300 0.278 0.417
Sn: 0.800 0.222 0.417
Sn: 0.810 0.409 0.750
Ca: 0.185 0.960 0.250
Ca: 0.815 0.040 0.750
Ca: 0.315 0.460 0.750
Ca: 0.685 0.540 0.250

Calculated values
Spin magnetization ... 0.00 Bohr magnetons per cell

***

[4]
The following is a DFT calculation (PBE) of Ca2Sn3Pt after structural relaxation.

a b c (Å): 4.839 6.029 6.275
angles (deg): 76.71 67.32 66.34
Sites, in units of the cell vectors:
Ca: 0.547 0.202 0.705
Ca: 0.434 0.817 0.315
Sn: 0.817 0.250 0.117
Sn: 0.866 0.607 0.661
Sn: 0.162 0.751 0.926
Pt: 0.175 0.374 0.276

Calculated values
Relative energy among the computed polymorphs ... 0 meV per atom
Spin magnetization ... 0.00 Bohr magnetons per cell

***

[5]
The following is a DFT calculation (PBE) of CaSn2Pt2 after structural relaxation.

a b c (Å): 4.736 4.736 6.252
angles (deg): 67.75 67.75 90.00
Sites, in units of the cell vectors:
Sn: 0.364 0.364 0.271
Sn: 0.636 0.636 0.729
Pt: 0.250 0.750 0.500
Pt: 0.750 0.250 0.500
Ca: 0.000 0.000 0.000

Calculated values
Spin magnetization ... 0.00 Bohr magnetons per cell

***

[6]
The following is a DFT calculation (PBE) of CaSn2Pt after structural relaxation.

a b c (Å): 4.658 9.647 10.282
angles (deg): 117.98 103.09 90.00
Sites, in units of the cell vectors:
Sn: 0.921 0.421 0.842
Sn: 0.083 0.083 0.166
Sn: 0.301 0.956 0.601
Sn: 0.699 0.044 0.399
Sn: 0.301 0.645 0.601
Sn: 0.079 0.579 0.158
Sn: 0.917 0.917 0.834
Sn: 0.699 0.355 0.399
Ca: 0.500 0.738 0.000
Ca: 0.297 0.297 0.594
Ca: 0.703 0.703 0.406
Ca: 0.500 0.262 0.000
Pt: 0.148 0.403 0.295
Pt: 0.852 0.597 0.705
Pt: 0.148 0.893 0.295
Pt: 0.852 0.107 0.705

Calculated values
Spin magnetization ... 0.00 Bohr magnetons per cell

***

Going through the records in order, we get E_form values of -0.89; -10.78; -2.13; -3.95; -3.18; -2.84 eV/f.u..
Going through the records in order, we get DOS(E_F) values of 2.7; 5.3; 3.1; 3.2; 3.2; 1.7 states/eV/f.u..
Going through the records in order, we get E values of -4.743; -5.217; -4.436; -4.333; -5.054; -4.721 eV per atom.